[1]
LaZnNiPd, relaxed, DFT PBE; ΔE_f = -54 kJ per mole of atoms; magnetic moment = 0.00 μB/f.u.; raw total energy = -4.79 eV/atom; theoretical density = 7847 kg/m3
1.0
2.165 1.250 4.815
-2.165 1.250 4.815
0.000 -2.500 4.815
La Zn Ni Pd
1 1 1 1
direct
0.000 0.000 0.000
0.508 0.508 0.508
0.201 0.201 0.201
0.793 0.793 0.793

***

[2]
LaPmNi, relaxed, DFT PBE; ΔE_f = -6 kJ per mole of atoms; magnetic moment = 0.03 μB/f.u.; raw total energy = -5.14 eV/atom; theoretical density = 6899 kg/m3
1.0
0.000 3.455 3.455
3.455 0.000 3.455
3.455 3.455 0.000
La Pm Ni
1 1 1
direct
0.000 0.000 0.000
0.500 0.500 0.500
0.250 0.250 0.250

***

Look up the ΔE_f of the second one.
-6 kJ per mole of atoms

***

Which of these has the highest ΔE_f?
LaPmNi